Material: LaTm2Ge4
Method: DFT, GGA-PBE
State: optimized geometry

```
LaTm2Ge4
1.0
-2.947 1.685 2.186
-2.703 -3.143 -1.221
5.348 -4.255 6.760
Ge Tm La
4 2 1
Direct
0.661 0.661 0.322
0.339 0.339 0.678
0.070 0.570 0.139
0.930 0.430 0.861
0.818 0.818 0.636
0.182 0.182 0.364
0.500 0.000 0.000
```

Results
- VASP energy: -5.382 eV/atom
- Mass density: 7.98 g cm⁻³
- Energy relative to the elements: -762 meV per atom

Material: LaTmGe2
Method: DFT, GGA-PBE
State: optimized geometry

```
LaTmGe2
1.0
-0.029 3.159 -1.295
-0.537 -1.283 -3.118
-8.047 0.424 1.211
Ge Tm La
2 1 1
Direct
0.000 0.000 0.735
0.000 0.000 0.265
0.500 0.500 0.500
0.500 0.500 0.000
```

Results
- VASP energy: -5.308 eV/atom
- Mass density: 7.92 g cm⁻³
- Energy relative to the elements: -649 meV per atom

Material: La2TmGe
Method: DFT, GGA-PBE
State: optimized geometry

```
La2TmGe
1.0
-1.639 -0.790 3.731
1.561 -3.844 -0.128
5.754 2.237 3.001
Ge Tm La
1 1 2
Direct
0.500 0.500 0.500
0.500 0.500 0.000
0.000 0.000 0.718
0.000 0.000 0.282
```

Results
- VASP energy: -5.073 eV/atom
- Mass density: 7.29 g cm⁻³
- Relative energy among the computed polymorphs: 6 meV/atom
- Energy relative to the elements: -337 meV per atom

Material: LaTm4Ge4
Method: DFT, GGA-PBE
State: optimized geometry

```
LaTm4Ge4
1.0
-4.195 1.349 3.613
-6.256 -1.176 -6.825
-0.870 -8.991 2.347
La Tm Ge
2 8 8
Direct
0.000 0.000 0.000
0.500 0.500 0.500
0.387 0.354 0.887
0.887 0.613 0.854
0.387 0.646 0.113
0.113 0.146 0.613
0.613 0.887 0.646
0.113 0.854 0.387
0.887 0.387 0.146
0.613 0.113 0.354
0.603 0.803 0.344
0.603 0.197 0.656
0.103 0.844 0.697
0.897 0.303 0.844
0.897 0.697 0.156
0.397 0.344 0.197
0.397 0.656 0.803
0.103 0.156 0.303
```

Results
- VASP energy: -5.181 eV/atom
- Mass density: 7.40 g cm⁻³
- Energy relative to the elements: -594 meV per atom

Material: La4TmGe2
Method: DFT, GGA-PBE
State: optimized geometry

```
La4TmGe2
1.0
5.173 0.000 0.000
2.586 4.480 0.000
2.586 1.493 9.908
La Tm Ge
4 1 2
Direct
0.705 0.705 0.886
0.892 0.892 0.324
0.295 0.295 0.114
0.108 0.108 0.676
0.500 0.500 0.500
0.598 0.598 0.205
0.402 0.402 0.795
```

Results
- VASP energy: -5.154 eV/atom
- Mass density: 6.29 g cm⁻³
- Energy relative to the elements: -380 meV per atom

Material: La2TmGe2
Method: DFT, GGA-PBE
State: optimized geometry

```
La2TmGe2
1.0
-0.765 -2.155 -3.934
6.031 -4.654 1.377
-4.676 -4.983 3.638
La Tm Ge
4 2 4
Direct
0.500 0.175 0.675
0.500 0.675 0.825
0.500 0.825 0.325
0.500 0.325 0.175
0.000 0.000 0.000
0.000 0.500 0.500
0.000 0.377 0.877
0.000 0.877 0.623
0.000 0.623 0.123
0.000 0.123 0.377
```

Results
- VASP energy: -5.505 eV/atom
- Mass density: 7.21 g cm⁻³
- Relative energy among the computed polymorphs: 0 meV/atom
- Energy relative to the elements: -793 meV per atom

Material: LaTmGe2
Method: DFT, GGA-PBE
State: optimized geometry

```
LaTmGe2
1.0
-2.065 4.189 -0.063
-3.187 0.984 -3.269
-5.735 -0.190 2.197
Ge Tm La
2 1 1
Direct
0.263 0.263 0.210
0.737 0.737 0.790
0.000 0.000 0.000
0.500 0.500 0.500
```

Results
- VASP energy: -5.346 eV/atom
- Mass density: 7.21 g cm⁻³
- Energy relative to the elements: -687 meV per atom

Material: LaTmGe2
Method: DFT, GGA-PBE
State: optimized geometry

```
LaTmGe2
1.0
4.161 0.000 -1.515
0.000 4.050 0.000
-0.194 0.000 5.931
La Tm Ge
1 1 2
Direct
0.443 0.500 0.425
0.717 0.000 0.973
0.167 0.500 0.874
0.004 0.000 0.546
```

Results
- VASP energy: -5.452 eV/atom
- Mass density: 7.62 g cm⁻³
- Energy relative to the elements: -794 meV per atom

Material: La2TmGe2
Method: DFT, GGA-PBE
State: optimized geometry

```
La2TmGe2
1.0
-1.683 4.151 -0.214
-3.073 0.871 -5.923
-9.695 -1.375 2.588
La Tm Ge
4 2 4
Direct
0.321 0.267 0.091
0.485 0.343 0.687
0.679 0.733 0.909
0.515 0.657 0.313
0.776 0.081 0.368
0.224 0.919 0.632
0.991 0.130 0.888
0.119 0.322 0.440
0.009 0.870 0.112
0.881 0.678 0.560
```

Results
- VASP energy: -5.455 eV/atom
- Mass density: 7.06 g cm⁻³
- Relative energy among the computed polymorphs: 51 meV/atom
- Energy relative to the elements: -742 meV per atom

Material: LaTm2Ge2
Method: DFT, GGA-PBE
State: optimized geometry

```
LaTm2Ge2
1.0
4.699 0.000 0.000
0.000 5.631 -0.450
0.000 -2.341 10.512
La Tm Ge
2 4 4
Direct
0.250 0.796 0.222
0.750 0.204 0.778
0.250 0.762 0.876
0.750 0.238 0.124
0.250 0.292 0.541
0.750 0.708 0.459
0.250 0.837 0.614
0.750 0.163 0.386
0.250 0.290 0.977
0.750 0.710 0.023
```

Results
- VASP energy: -5.224 eV/atom
- Mass density: 7.56 g cm⁻³
- Energy relative to the elements: -603 meV per atom

Material: LaTmGe2
Method: DFT, GGA-PBE
State: optimized geometry

```
LaTmGe2
1.0
-2.643 -2.706 1.486
4.471 -3.660 1.288
0.665 3.420 7.411
La Tm Ge
2 2 4
Direct
0.000 0.132 0.681
0.000 0.868 0.181
0.500 0.371 0.317
0.500 0.629 0.817
0.000 0.605 0.540
0.000 0.395 0.040
0.500 0.882 0.462
0.500 0.118 0.962
```

Results
- VASP energy: -5.453 eV/atom
- Mass density: 7.64 g cm⁻³
- Energy relative to the elements: -795 meV per atom

Material: LaTm2Zn2Ge2
Method: DFT, GGA-PBE
State: optimized geometry

```
LaTm2Zn2Ge2
1.0
4.161 0.000 0.000
2.081 3.604 0.000
2.081 1.201 11.237
La Tm Zn Ge
1 2 2 2
Direct
0.000 0.000 0.000
0.126 0.126 0.623
0.874 0.874 0.377
0.604 0.604 0.187
0.396 0.396 0.813
0.738 0.738 0.785
0.262 0.262 0.215
```

Results
- VASP energy: -4.102 eV/atom
- Mass density: 7.42 g cm⁻³
- Energy relative to the elements: -437 meV per atom

Material: LaTmZnGe
Method: DFT, GGA-PBE
State: optimized geometry

```
LaTmZnGe
1.0
5.127 0.000 0.000
2.563 4.440 0.000
2.563 1.480 4.186
Ge Tm Zn La
1 1 1 1
Direct
0.250 0.250 0.250
0.000 0.000 0.000
0.750 0.750 0.750
0.500 0.500 0.500
```

Results
- VASP energy: -4.343 eV/atom
- Mass density: 7.77 g cm⁻³
- Energy relative to the elements: -521 meV per atom

Material: LaUGe2
Method: DFT, GGA-PBE
State: optimized geometry

```
LaUGe2
1.0
4.261 0.000 0.000
2.131 3.690 0.000
2.131 1.230 6.896
Ge U La
2 1 1
Direct
0.261 0.261 0.216
0.739 0.739 0.784
0.000 0.000 0.000
0.500 0.500 0.500
```

Results
- VASP energy: -6.714 eV/atom
- Mass density: 8.00 g cm⁻³
- Energy relative to the elements: -352 meV per atom

Material: LaVGe2
Method: DFT, GGA-PBE
State: optimized geometry

```
LaVGe2
1.0
3.440 -3.127 1.558
-0.885 -4.822 -0.009
2.301 -2.909 -3.206
Ge La V
2 1 1
Direct
0.250 0.250 0.250
0.750 0.750 0.750
0.500 0.500 0.500
0.000 0.000 0.000
```

Results
- VASP energy: -6.030 eV/atom
- Mass density: 6.68 g cm⁻³
- Relative energy among the computed polymorphs: 0 meV/atom
- Energy relative to the elements: -210 meV per atom

Material: LaVGe3
Method: DFT, GGA-PBE
State: optimized geometry

```
LaVGe3
1.0
5.491 0.000 0.000
0.000 5.491 0.000
0.000 0.000 5.491
Ge La V
3 1 1
Direct
0.000 0.500 0.000
0.000 0.000 0.500
0.500 0.000 0.000
0.000 0.000 0.000
0.500 0.500 0.500
```

Results
- VASP energy: -4.276 eV/atom
- Mass density: 4.09 g cm⁻³
- Energy relative to the elements: 1303 meV per atom

Material: LaVGe
Method: DFT, GGA-PBE
State: optimized geometry

```
LaVGe
1.0
4.464 0.000 0.000
0.000 4.383 0.000
0.000 2.191 7.753
La V Ge
2 2 2
Direct
0.750 0.651 0.699
0.250 0.349 0.301
0.500 0.000 0.000
0.000 0.000 0.000
0.750 0.851 0.298
0.250 0.149 0.702
```

Results
- VASP energy: -6.354 eV/atom
- Mass density: 5.75 g cm⁻³
- Energy relative to the elements: -133 meV per atom

Material: La2VGe2
Method: DFT, GGA-PBE
State: optimized geometry

```
La2VGe2
1.0
-1.202 5.867 4.226
-7.013 -1.988 0.765
1.099 -2.450 3.714
Ge La V
4 4 2
Direct
0.374 0.874 0.000
0.874 0.626 0.000
0.626 0.126 0.000
0.126 0.374 0.000
0.178 0.678 0.500
0.678 0.822 0.500
0.822 0.322 0.500
0.322 0.178 0.500
0.000 0.000 0.000
0.500 0.500 0.000
```

Results
- VASP energy: -6.159 eV/atom
- Mass density: 6.39 g cm⁻³
- Energy relative to the elements: -518 meV per atom

Material: LaVGe2
Method: DFT, GGA-PBE
State: optimized geometry

```
LaVGe2
1.0
2.996 0.000 0.000
1.498 2.595 0.000
1.498 0.865 10.445
Ge V La
2 1 1
Direct
0.101 0.101 0.697
0.899 0.899 0.303
0.500 0.500 0.500
0.000 0.000 0.000
```

Results
- VASP energy: -5.595 eV/atom
- Mass density: 6.85 g cm⁻³
- Relative energy among the computed polymorphs: 436 meV/atom
- Energy relative to the elements: 225 meV per atom

Material: LaV2Ge2
Method: DFT, GGA-PBE
State: optimized geometry

```
LaV2Ge2
1.0
4.001 0.000 0.000
0.000 4.001 0.000
2.000 2.000 5.931
Ge La V
2 1 2
Direct
0.384 0.384 0.233
0.616 0.616 0.767
0.000 0.000 0.000
0.750 0.250 0.500
0.250 0.750 0.500
```

Results
- VASP energy: -6.972 eV/atom
- Mass density: 6.75 g cm⁻³
- Relative energy among the computed polymorphs: 0 meV/atom
- Energy relative to the elements: -492 meV per atom